Computed, not measured: an optimized crystal structure of TmHgF3 at the PBE level of DFT.

Values from the calculation:
Formation energy (no corrections) ... -308.6 kJ per mole of atoms
E above lowest polymorph ... 0.000 eV per atom
Space-group type ... R-3, No. 148
Crystal system ... trigonal
Electronic total energy ... -5.28 eV/atom
Magnetization ... 0.00 μB/f.u.

Cell lengths 6.0563, 6.0563, 8.5560 Å; angles 69.27, 69.27, 60.00 degrees
Positions (direct):
Tm1 0.1699 0.1699 0.4902
Tm2 0.8301 0.8301 0.5098
Hg1 0.3425 0.3425 0.9726
Hg2 0.6575 0.6575 0.0275
F1 0.0607 0.4445 0.6416
F2 0.8531 0.0607 0.6416
F3 0.5555 0.1469 0.3584
F4 0.1469 0.9392 0.3584
F5 0.9392 0.5555 0.3584
F6 0.4445 0.8531 0.6416